Here is a relaxed structure of SrCu4 from Alexandria via LeMat-Bulk. Energies are from PBE.

The value obtained for the calculated total energy is -1.977 eV/atom. For the formation energy, the calculation gives 1.64 eV per atom. The total magnetic moment is 0.0 μB/cell.

Geometry as CIF:
```
data_SrCu4
_cell_length_a 5.319
_cell_length_b 5.319
_cell_length_c 5.319
_cell_angle_alpha 90.00
_cell_angle_beta 90.00
_cell_angle_gamma 90.00
_space_group_name_H-M_alt 'P m -3 m'
_space_group_IT_number 221
_space_group_name_Hall '-P 4 2 3'
loop_
_atom_site_label
_atom_site_type_symbol
_atom_site_fract_x
_atom_site_fract_y
_atom_site_fract_z
Sr1 Sr 0.000 0.000 0.000
Cu1 Cu 0.000 0.000 0.500
Cu2 Cu 0.500 0.500 0.500
```